[1]
Material: PbW2Au
Method: DFT, PBE-GGA
State: relaxed

Calculated formation energy = 51.7 kJ per mole of atoms

extended XYZ file:
```
4
Lattice="1.664 -2.436 0.000 1.664 2.436 0.000 0.000 0.000 9.805" Properties=species:S:1:pos:R:3 pbc="T T T"
Pb 0.000 0.000 0.000
W 0.000 0.000 5.159
W 1.664 0.000 7.128
Au 1.664 0.000 2.877
```

---

[2]
Material: YSnBi
Method: DFT, PBE-GGA
State: relaxed

Calculated formation energy = -29.8 kJ per mole of atoms
Energy above the lowest structure with this stoichiometry = 293.8 meV/atom

extended XYZ file:
```
3
Lattice="5.490 0.000 0.000 -2.745 4.755 0.000 0.000 0.000 3.336" Properties=species:S:1:pos:R:3 pbc="T T T"
Y 0.000 0.000 0.000
Sn 2.745 1.585 1.679
Bi 0.000 3.170 1.662
```

---

[3]
Material: RbUTeSe
Method: DFT, PBE-GGA
State: relaxed

Formation energy from raw total energies = -1.00 eV per atom

extended XYZ file:
```
4
Lattice="2.171 1.253 8.499 -2.171 1.253 8.499 0.000 -2.507 8.499" Properties=species:S:1:pos:R:3 pbc="T T T"
Rb 0.000 0.000 0.000
U 0.000 0.000 4.555
Te 0.000 0.000 19.683
Se 0.000 0.000 14.596
```

---

no.,spin magnetization (μB per cell)
1,0.0
2,0.0
3,3.0